# MgNi2Mo PBE optimized geometry
data_MgNi2Mo
_symmetry_space_group_name_H-M 'I m m 2'
_symmetry_Int_Tables_number 44
_cell_length_a 2.675
_cell_length_b 4.392
_cell_length_c 9.434
_cell_angle_alpha 90.00
_cell_angle_beta 90.00
_cell_angle_gamma 90.00
loop_
_symmetry_equiv_pos_as_xyz
'x,y,z'
'-x,-y,z'
'-x,y,z'
'x,-y,z'
'x+1/2,y+1/2,z+1/2'
'-x+1/2,-y+1/2,z+1/2'
'-x+1/2,y+1/2,z+1/2'
'x+1/2,-y+1/2,z+1/2'
loop_
_atom_site_label
_atom_site_type_symbol
_atom_site_fract_x
_atom_site_fract_y
_atom_site_fract_z
Mg1 Mg 0.000 0.000 0.000
Ni1 Ni 0.000 0.000 0.516
Ni2 Ni 0.000 0.500 0.233
Mo1 Mo 0.000 0.500 0.788
# E in eV per atom: -5.919
# Total magnetic moment in μB/cell: 0.00
# D(E_F) in states/eV/cell: 6.84
# DFT formation energy in eV/f.u.: 0.31